# KIn2Sn3

An optimized crystal structure of KIn2Sn3 (PBE, Alexandria).

## Properties
E_form: -0.06 eV/atom
space group: P6/mmm

a b c (Å): 6.5876 6.5876 5.1439
angles (deg): 90.00 90.00 120.00
With the nearest neighbours (Å) after each atom.
Fractional positions:
K  0.0000  0.0000  0.0000  6 In 3.80, 12 Sn 4.18
In  0.3333  0.6667  0.0000  6 Sn 3.20
In  0.6667  0.3333  0.0000  6 Sn 3.20
Sn  0.0000  0.5000  0.5000  4 In 3.20, 4 Sn 3.29
Sn  0.5000  0.0000  0.5000  4 In 3.20, 4 Sn 3.29
Sn  0.5000  0.5000  0.5000  4 In 3.20, 4 Sn 3.29

---

# RbYAu2I6

An optimized crystal structure of RbYAu2I6 (PBE, Alexandria).

## Properties
space group: P-1
energy relative to the elements, uncorrected: -0.822 eV/atom

a b c (Å): 7.8922 7.9188 9.7797
angles (deg): 90.07 113.51 119.71
With the nearest neighbours (Å) after each atom.
Fractional positions:
Rb  0.0000  0.0000  0.0000  6 I 3.73-3.74
Y  0.0000  0.5000  0.5000  6 I 3.05-3.06
Au  0.4645  0.2280  0.6961  3 I 2.72-2.74
Au  0.5355  0.7720  0.3039  3 I 2.72-2.74
I  0.1398  0.2586  0.7075  1 Au 2.74, 1 Y 3.05
I  0.1752  0.4350  0.2906  1 Au 2.72
I  0.4462  0.8773  0.7112  1 Au 2.72
I  0.5538  0.1227  0.2888  1 Au 2.72
I  0.8248  0.5650  0.7094  1 Au 2.72
I  0.8602  0.7414  0.2925  1 Au 2.74, 1 Y 3.05

---

# HfBi3Se

An optimized crystal structure of HfBi3Se (PBE, Alexandria).

## Properties
space group: Pm-3m
energy relative to the elements, uncorrected: 0.437 eV/atom

a b c (Å): 5.5912 5.5912 5.5912
angles (deg): 90.00 90.00 90.00
With the nearest neighbours (Å) after each atom.
Fractional positions:
Hf  0.0000  0.0000  0.0000  6 Bi 2.80
Bi  0.0000  0.0000  0.5000  2 Hf 2.80
Bi  0.0000  0.5000  0.0000  2 Hf 2.80
Bi  0.5000  0.0000  0.0000  2 Hf 2.80
Se  0.5000  0.5000  0.5000  12 Bi 3.95